Computed, not measured: a geometry-optimized SrHBr structure at the GGA-PBEsol level of DFT.

DOS at the Fermi energy ... 0.00 states/eV/atom
Final energy ... -3.75 eV per atom
Total magnetization ... 0.0 μB/f.u.
Crystal system ... tetragonal

POSCAR file:
```
SrHBr
1.0
4.174 0.000 0.000
0.000 4.174 0.000
0.000 0.000 7.126
Sr H Br
2 2 2
direct
0.250 0.250 0.188
0.750 0.750 0.812
0.250 0.750 0.000
0.750 0.250 0.000
0.250 0.250 0.653
0.750 0.750 0.347
```

---

Computed, not measured: a geometry-optimized Sr7H12Br2 structure at the GGA-PBEsol level of DFT.

DOS at the Fermi energy ... 0.00 states/eV/atom
Final energy ... -3.49 eV per atom
Total magnetization ... 0.0 μB/f.u.
Crystal system ... hexagonal

POSCAR file:
```
Sr7H12Br2
1.0
9.843 0.000 0.000
-4.921 8.524 0.000
0.000 0.000 3.948
Sr H Br
7 12 2
direct
0.000 0.000 0.000
0.100 0.408 0.000
0.308 0.900 0.000
0.393 0.283 0.500
0.592 0.692 0.000
0.717 0.110 0.500
0.890 0.607 0.500
0.062 0.638 0.000
0.104 0.213 0.500
0.109 0.896 0.500
0.276 0.123 0.000
0.362 0.423 0.000
0.441 0.052 0.500
0.577 0.938 0.000
0.611 0.559 0.500
0.787 0.891 0.500
0.847 0.724 0.000
0.877 0.153 0.000
0.948 0.389 0.500
0.333 0.667 0.500
0.667 0.333 0.000
```

---

Computed, not measured: a geometry-optimized TaH2Br structure at the GGA-PBEsol level of DFT.

DOS at the Fermi energy ... 0.29 states/eV/atom
Excess energy over the best structure of this formula in the dataset ... 0 meV/atom
Total magnetization ... 0.0 μB/f.u.
Crystal system ... tetragonal

POSCAR file:
```
TaH2Br
1.0
-2.929 2.929 2.732
2.929 -2.929 2.732
2.929 2.929 -2.732
Ta H Br
2 4 2
direct
0.000 0.000 0.000
0.750 0.250 0.500
0.026 0.625 0.901
0.375 0.276 0.401
0.724 0.125 0.099
0.875 0.974 0.599
0.250 0.750 0.500
0.500 0.500 0.000
```

---

Computed, not measured: a geometry-optimized TaH2Br structure at the GGA-PBEsol level of DFT.

DOS at the Fermi energy ... 0.85 states/eV/atom
Excess energy over the best structure of this formula in the dataset ... 850 meV/atom
Total magnetization ... 0.0 μB/f.u.
Crystal system ... cubic

POSCAR file:
```
TaH2Br
1.0
0.000 2.788 2.788
2.788 0.000 2.788
2.788 2.788 0.000
Ta H Br
1 2 1
direct
0.000 0.000 0.000
0.250 0.250 0.250
0.750 0.750 0.750
0.500 0.500 0.500
```

---

Computed, not measured: a geometry-optimized TaHBr2 structure at the GGA-PBEsol level of DFT.

DOS at the Fermi energy ... 0.64 states/eV/atom
Final energy ... -4.29 eV per atom
Total magnetization ... 0.0 μB/f.u.
Crystal system ... tetragonal

POSCAR file:
```
TaHBr2
1.0
-2.742 2.742 4.689
2.742 -2.742 4.689
2.742 2.742 -4.689
Ta H Br
2 2 4
direct
0.000 0.000 0.000
0.750 0.250 0.500
0.250 0.750 0.500
0.500 0.500 0.000
0.195 0.125 0.570
0.375 0.805 0.930
0.555 0.625 0.430
0.875 0.445 0.070
```

---

Computed, not measured: a geometry-optimized TeH2Br structure at the GGA-PBEsol level of DFT.

DOS at the Fermi energy ... 0.32 states/eV/atom
Final energy ... -2.74 eV per atom
Total magnetization ... 0.0 μB/f.u.
Crystal system ... tetragonal

POSCAR file:
```
TeH2Br
1.0
-2.344 2.344 6.063
2.344 -2.344 6.063
2.344 2.344 -6.063
Te H Br
2 4 2
direct
0.375 0.625 0.750
0.625 0.375 0.250
0.000 0.500 0.500
0.500 0.000 0.000
0.500 0.500 0.000
0.500 0.500 0.500
0.125 0.875 0.250
0.875 0.125 0.750
```

---

Computed, not measured: a geometry-optimized TlHBr2 structure at the GGA-PBEsol level of DFT.

DOS at the Fermi energy ... 0.51 states/eV/atom
Final energy ... -2.12 eV per atom
Total magnetization ... 0.0 μB/f.u.
Crystal system ... trigonal

POSCAR file:
```
TlHBr2
1.0
1.696 0.979 8.730
-1.696 0.979 8.730
0.000 -1.958 8.730
Tl H Br
1 1 2
direct
0.000 0.000 0.000
0.500 0.500 0.500
0.115 0.115 0.115
0.885 0.885 0.885
```

---

Computed, not measured: a geometry-optimized TlHBr3 structure at the GGA-PBEsol level of DFT.

DOS at the Fermi energy ... 1.07 states/eV/atom
Final energy ... -2.05 eV per atom
Total magnetization ... 0.9 μB/f.u.
Crystal system ... cubic

POSCAR file:
```
TlHBr3
1.0
5.487 0.000 0.000
0.000 5.487 0.000
0.000 0.000 5.487
Tl H Br
1 1 3
direct
0.000 0.000 0.000
0.500 0.500 0.500
0.000 0.000 0.500
0.000 0.500 0.000
0.500 0.000 0.000
```

---

Look up the total magnetization of the fourth one.
0.0 μB/f.u.

---

What did the fifth record say?
Computed, not measured: a geometry-optimized TaHBr2 structure at the GGA-PBEsol level of DFT.

DOS at the Fermi energy ... 0.64 states/eV/atom
Final energy ... -4.29 eV per atom
Total magnetization ... 0.0 μB/f.u.
Crystal system ... tetragonal

POSCAR file:
```
TaHBr2
1.0
-2.742 2.742 4.689
2.742 -2.742 4.689
2.742 2.742 -4.689
Ta H Br
2 2 4
direct
0.000 0.000 0.000
0.750 0.250 0.500
0.250 0.750 0.500
0.500 0.500 0.000
0.195 0.125 0.570
0.375 0.805 0.930
0.555 0.625 0.430
0.875 0.445 0.070
```